Material: PrZr2Te4
Method: DFT, PBE-GGA
State: relaxed

* energy relative to the elements, uncorrected: -0.93 eV/atom
* raw total energy: -5.85 eV per atom
* magnetization: 0.00 μB/cell
* SG: No. 63

Cell: 7.089 7.089 14.932 Å, 90.00 90.00 146.40°
Sites, in units of the cell vectors:
Pr 0.100 0.900 0.750
Pr 0.900 0.100 0.250
Zr 0.347 0.653 0.559
Zr 0.347 0.653 0.941
Zr 0.653 0.347 0.059
Zr 0.653 0.347 0.441
Te 0.000 0.000 0.000
Te 0.000 0.000 0.500
Te 0.286 0.714 0.124
Te 0.286 0.714 0.376
Te 0.426 0.574 0.750
Te 0.574 0.426 0.250
Te 0.714 0.286 0.624
Te 0.714 0.286 0.876

Material: Cs2NbO
Method: DFT, PBE-GGA
State: relaxed

* energy relative to the elements, uncorrected: 1.14 eV/atom
* raw total energy: -3.04 eV per atom
* magnetization: 5.00 μB/cell
* SG: No. 225

Cell: 5.412 5.412 5.412 Å, 60.00 60.00 60.00°
Sites, in units of the cell vectors:
Cs 0.250 0.250 0.250
Cs 0.750 0.750 0.750
Nb 0.000 0.000 0.000
O 0.500 0.500 0.500

Material: Sb2IrPb
Method: DFT, PBE-GGA
State: relaxed

* energy relative to the elements, uncorrected: 0.12 eV/atom
* raw total energy: -5.08 eV per atom
* magnetization: 0.00 μB/cell
* SG: No. 99

Cell: 3.244 3.244 9.437 Å, 90.00 90.00 90.00°
Sites, in units of the cell vectors:
Sb 0.000 0.000 0.000
Sb 0.500 0.500 0.322
Ir 0.000 0.000 0.483
Pb 0.500 0.500 0.709